--- w ---
DFT (GGA-PBEsol) results for crystalline MnGeNF2 at its relaxed geometry.

Cell lengths 3.720, 4.066, 4.066 Å; angles 90.00, 90.00, 90.00 degrees
Fractional coordinates of all 5 atoms:
F 0.000 0.000 0.500
F 0.000 0.500 0.000
N 0.500 0.000 0.000
Ge 0.000 0.000 0.000
Mn 0.500 0.500 0.500

Properties
- Mass density: 4.85 Mg/m³
- Size of the total moment: 4.74 μB/cell

--- x ---
DFT (GGA-PBEsol) results for crystalline MnGeNF2 at its relaxed geometry.

Cell lengths 3.930, 3.930, 3.862 Å; angles 90.00, 90.00, 90.00 degrees
Fractional coordinates of all 5 atoms:
N 0.000 0.000 0.500
F 0.500 0.000 0.000
F 0.000 0.500 0.000
Ge 0.500 0.500 0.500
Mn 0.000 0.000 0.000

Properties
- Mass density: 5.00 Mg/m³
- Size of the total moment: 3.90 μB/cell

Stability verdict: x, ahead by 27.4 kJ/mol of atoms

--- w ---
DFT (GGA-PBEsol) results for crystalline GeMoF3 at its relaxed geometry.

Cell lengths 4.311, 4.311, 4.311 Å; angles 90.00, 90.00, 90.00 degrees
Fractional coordinates of all 5 atoms:
Mo 0.500 0.500 0.500
F 0.000 0.000 0.500
F 0.500 0.000 0.000
F 0.000 0.500 0.000
Ge 0.000 0.000 0.000

Properties
- Mass density: 4.68 Mg/m³
- Size of the total moment: 5.03 μB/cell

--- x ---
DFT (GGA-PBEsol) results for crystalline GeMoF3 at its relaxed geometry.

Cell lengths 4.183, 4.183, 4.183 Å; angles 90.00, 90.00, 90.00 degrees
Fractional coordinates of all 5 atoms:
Mo 0.000 0.000 0.000
F 0.500 0.000 0.000
F 0.000 0.500 0.000
F 0.000 0.000 0.500
Ge 0.500 0.500 0.500

Properties
- Mass density: 5.12 Mg/m³
- Size of the total moment: 2.78 μB/cell

Stability verdict: x, ahead by 26.8 kJ/mol of atoms